[1]
SrDyTeAuSe2: optimized geometry, PBE-GGA.

Summary:
Space group: No. 63
Crystal system: orthorhombic
Spin magnetization in μB/f.u.: 0.000
Raw total energy in eV per atom: -4.6389

Structure (POSCAR):
```
SrDyTeAuSe2
1.0
-3.632 5.698 -3.482
1.195 -3.995 6.356
8.084 6.858 2.791
Au Dy Se Sr Te
2 2 4 2 2
direct
0.025 0.975 0.250
0.975 0.025 0.750
0.500 0.500 0.000
0.500 0.500 0.500
0.134 0.866 0.058
0.134 0.866 0.442
0.866 0.134 0.558
0.866 0.134 0.942
0.716 0.284 0.250
0.284 0.716 0.750
0.397 0.603 0.250
0.603 0.397 0.750
```

[2]
Cu2Ag3: optimized geometry, PBE-GGA.

Summary:
Space group: No. 6
Crystal system: monoclinic
DFT formation energy in kJ per mole of atoms: 8.16

Structure (POSCAR):
```
Cu2Ag3
1.0
-6.561 0.682 2.107
-0.538 -2.689 -0.803
3.415 -2.687 6.708
Ag Cu
6 4
direct
0.430 0.500 0.213
0.092 0.000 0.269
0.801 0.500 0.418
0.200 0.500 0.592
0.603 0.500 0.799
0.280 0.000 0.911
0.715 0.000 0.097
0.502 0.000 0.508
0.906 0.000 0.712
0.970 0.500 0.982
```

[3]
DyLu6Fe2Te2: optimized geometry, PBE-GGA.

Summary:
Space group: No. 44
Crystal system: orthorhombic
Spin magnetization in μB/f.u.: 0.387
Raw total energy in eV per atom: -5.4706

Structure (POSCAR):
```
DyLu6Fe2Te2
1.0
-0.376 -8.858 2.387
1.856 6.381 6.336
-5.349 -5.156 -5.395
Dy Fe Lu Te
1 2 6 2
direct
0.001 0.001 0.000
0.304 0.069 0.236
0.833 0.069 0.764
0.721 0.583 0.138
0.685 0.373 0.312
0.083 0.734 0.349
0.385 0.734 0.651
0.060 0.373 0.688
0.445 0.583 0.862
0.339 0.339 0.000
0.732 0.232 0.500
```

[4]
Y2GaNiBr2: optimized geometry, PBE-GGA.

Summary:
Space group: No. 156
Crystal system: trigonal
Spin magnetization in μB/f.u.: 0.103
Raw total energy in eV per atom: -5.3336

Structure (POSCAR):
```
Y2GaNiBr2
1.0
4.090 0.000 0.000
-2.045 3.542 0.000
0.000 0.000 11.053
Br Ga Ni Y
2 1 1 2
direct
0.667 0.333 0.163
0.000 0.000 0.837
0.000 0.000 0.495
0.667 0.333 0.506
0.333 0.667 0.329
0.333 0.667 0.669
```

[5]
NaZrBeS3: optimized geometry, PBE-GGA.

Summary:
Space group: No. 62
Crystal system: orthorhombic
Spin magnetization in μB/f.u.: 0.358
Raw total energy in eV per atom: -5.5565

Structure (POSCAR):
```
NaZrBeS3
1.0
9.949 0.000 0.000
0.000 3.525 0.000
0.000 0.000 13.184
Be Na S Zr
4 4 12 4
direct
0.768 0.250 0.210
0.268 0.250 0.290
0.732 0.750 0.710
0.232 0.750 0.790
0.217 0.250 0.004
0.717 0.250 0.496
0.283 0.750 0.504
0.783 0.750 0.996
0.603 0.250 0.112
0.944 0.250 0.122
0.265 0.750 0.189
0.765 0.750 0.311
0.444 0.250 0.378
0.103 0.250 0.388
0.897 0.750 0.612
0.556 0.750 0.622
0.235 0.250 0.689
0.735 0.250 0.811
0.056 0.750 0.878
0.397 0.750 0.888
0.518 0.750 0.242
0.018 0.750 0.258
0.982 0.250 0.742
0.482 0.250 0.758
```

[6]
Li2Ni3Ge: optimized geometry, PBE-GGA.

Summary:
Space group: No. 166
Crystal system: trigonal
Spin magnetization in μB/f.u.: 0.002
Raw total energy in eV per atom: -4.4566

Structure (POSCAR):
```
Li2Ni3Ge
1.0
0.477 -4.675 -0.528
4.374 -1.779 -0.239
1.589 -2.506 3.681
Ge Li Ni
1 2 3
direct
0.000 0.000 0.000
0.379 0.379 0.379
0.621 0.621 0.621
0.500 0.000 0.000
0.000 0.500 0.000
0.000 0.000 0.500
```

[7]
LiLaZnS3: optimized geometry, PBE-GGA.

Summary:
Space group: No. 62
Crystal system: orthorhombic
Spin magnetization in μB/f.u.: 0.002
Raw total energy in eV per atom: -4.8662

Structure (POSCAR):
```
LiLaZnS3
1.0
11.545 0.000 0.000
0.000 4.031 0.000
0.000 0.000 11.273
La Li S Zn
4 4 12 4
direct
0.527 0.750 0.182
0.027 0.750 0.318
0.973 0.250 0.682
0.473 0.250 0.818
0.885 0.250 0.016
0.385 0.250 0.484
0.615 0.750 0.516
0.115 0.750 0.984
0.401 0.250 0.065
0.070 0.250 0.131
0.788 0.750 0.180
0.288 0.750 0.320
0.570 0.250 0.369
0.901 0.250 0.435
0.099 0.750 0.565
0.430 0.750 0.631
0.712 0.250 0.680
0.212 0.250 0.820
0.930 0.750 0.869
0.599 0.750 0.935
0.259 0.250 0.206
0.759 0.250 0.294
0.241 0.750 0.706
0.741 0.750 0.794
```

[8]
LiLu: optimized geometry, PBE-GGA.

Summary:
Space group: No. 187
Crystal system: hexagonal
Spin magnetization in μB/f.u.: 0.022
Raw total energy in eV per atom: -3.0060

Structure (POSCAR):
```
LiLu
1.0
-0.263 3.131 0.998
-1.995 -1.151 -2.359
-3.543 -1.483 3.721
Li Lu
1 1
direct
0.667 0.333 0.750
0.333 0.667 0.250
```

[9]
PrAsNO: optimized geometry, PBE-GGA.

Summary:
Space group: No. 29
Crystal system: orthorhombic
Spin magnetization in μB/f.u.: 0.000
Raw total energy in eV per atom: -6.8986

Structure (POSCAR):
```
PrAsNO
1.0
-3.341 -6.439 -0.078
0.154 0.006 -7.051
4.516 -2.344 0.097
As N O Pr
4 4 4 4
direct
0.179 0.128 0.055
0.679 0.872 0.055
0.321 0.128 0.555
0.821 0.872 0.555
0.856 0.020 0.236
0.356 0.980 0.236
0.644 0.020 0.736
0.144 0.980 0.736
0.614 0.411 0.430
0.114 0.589 0.430
0.886 0.411 0.930
0.386 0.589 0.930
0.923 0.324 0.483
0.423 0.676 0.483
0.577 0.324 0.983
0.077 0.676 0.983
```

[10]
CuS4: optimized geometry, PBE-GGA.

Summary:
Space group: No. 10
Crystal system: monoclinic
Raw total energy in eV per atom: -3.9751

Structure (POSCAR):
```
CuS4
1.0
5.062 0.000 0.000
0.000 3.152 0.000
-0.093 0.000 5.712
Cu S
1 4
direct
0.000 0.000 0.000
0.359 0.500 0.116
0.852 0.000 0.388
0.148 0.000 0.612
0.641 0.500 0.884
```

[11]
Pr2USe5: optimized geometry, PBE-GGA.

Summary:
Space group: No. 62
Crystal system: orthorhombic
Spin magnetization in μB/f.u.: 2.001
Raw total energy in eV per atom: -6.4171

Structure (POSCAR):
```
Pr2USe5
1.0
-3.785 -8.757 8.141
7.690 -3.531 -0.222
2.286 4.600 6.011
Pr Se U
8 20 4
direct
0.822 0.501 0.026
0.822 0.999 0.026
0.322 0.501 0.474
0.322 0.999 0.474
0.678 0.001 0.526
0.678 0.499 0.526
0.178 0.001 0.974
0.178 0.499 0.974
0.001 0.750 0.046
0.595 0.043 0.164
0.595 0.457 0.164
0.315 0.250 0.169
0.286 0.750 0.194
0.786 0.750 0.306
0.815 0.250 0.331
0.095 0.043 0.336
0.095 0.457 0.336
0.501 0.750 0.454
0.499 0.250 0.546
0.905 0.543 0.664
0.905 0.957 0.664
0.185 0.750 0.669
0.214 0.250 0.694
0.714 0.250 0.806
0.685 0.750 0.831
0.405 0.543 0.836
0.405 0.957 0.836
0.999 0.250 0.954
0.508 0.750 0.070
0.008 0.750 0.430
0.992 0.250 0.570
0.492 0.250 0.930
```

[12]
TbTlSiTe3: optimized geometry, PBE-GGA.

Summary:
Space group: No. 63
Crystal system: orthorhombic
Spin magnetization in μB/f.u.: 0.002
Raw total energy in eV per atom: -4.1475

Structure (POSCAR):
```
TbTlSiTe3
1.0
6.846 3.293 -1.563
-7.375 -0.687 -2.301
-2.913 9.187 6.594
Si Tb Te Tl
2 2 6 2
direct
0.030 0.970 0.250
0.970 0.030 0.750
0.500 0.500 0.000
0.500 0.500 0.500
0.136 0.864 0.056
0.427 0.573 0.250
0.136 0.864 0.444
0.864 0.136 0.556
0.573 0.427 0.750
0.864 0.136 0.944
0.750 0.250 0.250
0.250 0.750 0.750
```